Compound: Ac2PuNi4Sn3
Source: the Alexandria database
Functional: PBE
Structure: relaxed

The space group is P-4m2 (No. 115) and the conventional cell measures 4.613, 4.613 and 10.410 Å, with angles of 90.00, 90.00 and 90.00 degrees. The asymmetric unit holds Ac at (0.000, 0.500, 0.232), Pu at (0.000, 0.000, 0.500), Ni at (0.000, 0.000, 0.000), Ni at (0.000, 0.500, 0.634), Ni at (0.500, 0.500, 0.000), Sn at (0.000, 0.500, 0.881) and Sn at (0.500, 0.500, 0.500).

The density of states at the Fermi level is 1.10 states/eV per atom. The value obtained for the total energy is -6.223 eV/atom.

---

Compound: TmHBrCl
Source: the Alexandria database
Functional: PBE
Structure: relaxed

The space group is Cm (No. 8) and the conventional cell measures 6.747, 3.894 and 7.754 Å, with angles of 90.00, 106.89 and 90.00 degrees. The asymmetric unit holds Tm at (0.000, 0.000, 0.000), H at (0.343, 0.000, 0.030), Br at (0.115, 0.000, 0.342) and Cl at (0.097, 0.500, 0.792).

The density of states at the Fermi level is 0.00 states/eV per atom. The value obtained for the total energy is -4.233 eV/atom.

---

Compound: PrSm2Si
Source: the Alexandria database
Functional: PBE
Structure: relaxed

The space group is P4/mmm (No. 123) and the conventional cell measures 3.887, 3.887 and 7.486 Å, with angles of 90.00, 90.00 and 90.00 degrees. The asymmetric unit holds Pr at (0.000, 0.000, 0.000), Sm at (0.500, 0.500, 0.305) and Si at (0.000, 0.000, 0.500).

The density of states at the Fermi level is 1.20 states/eV per atom. As for the uncorrected formation energy: -0.93 eV/f.u. The value obtained for the total energy is -5.143 eV/atom.

---

V per entry: 221.5 194.9 113.1 Å³/cell